one) Density functional theory data (PBE-GGA) for an optimized crystal structure of Pr3Ho3Te2Pd.

The size of the total moment is 0.0 Bohr magnetons per cell.

The structure belongs to space group Amm2 (No. 38); the cell edges are 4.082, 14.788 and 8.543 Å and the angles 90.00°, 90.00° and 90.00°. Symmetry generates all atoms from Pr at (0.000, 0.000, 0.000), Pr at (0.000, 0.203, 0.610), Ho at (0.500, 0.000, 0.647), Ho at (0.500, 0.121, 0.286), Te at (0.500, 0.167, 0.907) and Pd at (0.000, 0.000, 0.407).

two) Density functional theory data (PBE-GGA) for an optimized crystal structure of Pr3Ho3Te2Pd.

The size of the total moment is 0.0 Bohr magnetons per cell.

The structure belongs to space group P-62m (No. 189); the cell edges are 8.6922, 8.6922 and 3.9403 Å and the angles 90.00°, 90.00° and 120.00°. Symmetry generates all atoms from Pr at (0.0000, 0.7476, 0.0000), Ho at (0.0000, 0.4072, 0.5000), Te at (0.3333, 0.6667, 0.0000) and Pd at (0.0000, 0.0000, 0.5000).

Which one sits at the top of the stability order? one) does.

one) Density functional theory data (PBE-GGA) for an optimized crystal structure of HoTlPdS3.

The size of the total moment is 0.1 Bohr magnetons per cell.

The structure belongs to space group Cmcm (No. 63); the cell edges are 3.901, 14.502 and 10.205 Å and the angles 90.00°, 90.00° and 90.00°. Symmetry generates all atoms from Ho at (0.000, 0.000, 0.000), Tl at (0.000, 0.245, 0.250), Pd at (0.000, 0.484, 0.750), S at (0.000, 0.078, 0.750) and S at (0.000, 0.376, 0.567).

two) Density functional theory data (PBE-GGA) for an optimized crystal structure of HoTlPdS3.

The size of the total moment is 0.0 Bohr magnetons per cell.

The structure belongs to space group P2_1/m (No. 11); the cell edges are 8.008, 3.988 and 10.065 Å and the angles 90.00°, 109.15° and 90.00°. Symmetry generates all atoms from Ho at (0.193, 0.250, 0.140), Tl at (0.235, 0.750, 0.717), Pd at (0.411, 0.750, 0.410), S at (0.046, 0.250, 0.861), S at (0.271, 0.250, 0.436) and S at (0.432, 0.750, 0.168).

Which one sits at the top of the stability order? two) does.

one) Density functional theory data (PBE-GGA) for an optimized crystal structure of Sm3Ho3Te2Pd.

The size of the total moment is 0.1 Bohr magnetons per cell.

The structure belongs to space group P-62m (No. 189); the cell edges are 8.4681, 8.4681 and 4.0110 Å and the angles 90.00°, 90.00° and 120.00°. Symmetry generates all atoms from Sm at (0.0000, 0.5938, 0.0000), Ho at (0.0000, 0.2438, 0.5000), Te at (0.3333, 0.6667, 0.5000) and Pd at (0.0000, 0.0000, 0.0000).

two) Density functional theory data (PBE-GGA) for an optimized crystal structure of Sm3Ho3Te2Pd.

The size of the total moment is 0.0 Bohr magnetons per cell.

The structure belongs to space group P-62m (No. 189); the cell edges are 8.5660, 8.5660 and 3.9290 Å and the angles 90.00°, 90.00° and 120.00°. Symmetry generates all atoms from Sm at (0.0000, 0.2511, 0.0000), Ho at (0.0000, 0.5951, 0.5000), Te at (0.3333, 0.6667, 0.0000) and Pd at (0.0000, 0.0000, 0.5000).

Which one sits at the top of the stability order? one) does.

one) Density functional theory data (PBE-GGA) for an optimized crystal structure of Ho3Zr3Te2Pd.

The size of the total moment is 0.0 Bohr magnetons per cell.

The structure belongs to space group P-62m (No. 189); the cell edges are 8.1912, 8.1912 and 3.7123 Å and the angles 90.00°, 90.00° and 120.00°. Symmetry generates all atoms from Ho at (0.0000, 0.2522, 0.0000), Zr at (0.0000, 0.5895, 0.5000), Te at (0.3333, 0.6667, 0.0000) and Pd at (0.0000, 0.0000, 0.5000).

two) Density functional theory data (PBE-GGA) for an optimized crystal structure of Ho3Zr3Te2Pd.

The size of the total moment is 0.0 Bohr magnetons per cell.

The structure belongs to space group P-62m (No. 189); the cell edges are 8.0544, 8.0544 and 3.8896 Å and the angles 90.00°, 90.00° and 120.00°. Symmetry generates all atoms from Ho at (0.0000, 0.5989, 0.0000), Zr at (0.0000, 0.2430, 0.5000), Te at (0.3333, 0.6667, 0.5000) and Pd at (0.0000, 0.0000, 0.0000).

Which one sits at the top of the stability order? two) does.